1.
Ca3ScAu | PBE | relaxed

Cell and atoms, written as CIF:
```
data_Ca3ScAu
_cell_length_a 5.670
_cell_length_b 5.670
_cell_length_c 5.670
_cell_angle_alpha 90.00
_cell_angle_beta 90.00
_cell_angle_gamma 90.00
_symmetry_space_group_name_H-M 'P m -3 m'
_symmetry_Int_Tables_number 221
_symmetry_space_group_name_Hall '-P 4 2 3'
loop_
_atom_site_label
_atom_site_type_symbol
_atom_site_fract_x
_atom_site_fract_y
_atom_site_fract_z
Ca1 Ca 0.000 0.000 0.500
Sc1 Sc 0.500 0.500 0.500
Au1 Au 0.000 0.000 0.000
```

- Energy of formation: -29.1 meV per atom
- Fermi-level density of states: 8.64 states/eV/f.u.
- Offset from the most stable computed form: 0 kJ/mol of formula units

=====

2.
ZnFe2Si | PBE | relaxed

Cell and atoms, written as CIF:
```
data_ZnFe2Si
_cell_length_a 3.074
_cell_length_b 3.074
_cell_length_c 5.232
_cell_angle_alpha 90.00
_cell_angle_beta 90.00
_cell_angle_gamma 90.00
_symmetry_space_group_name_H-M 'P 4 m m'
_symmetry_Int_Tables_number 99
loop_
_symmetry_equiv_pos_as_xyz
'x,y,z'
'-y,x,z'
'-x,-y,z'
'y,-x,z'
'-x,y,z'
'y,x,z'
'x,-y,z'
'-y,-x,z'
loop_
_atom_site_label
_atom_site_type_symbol
_atom_site_fract_x
_atom_site_fract_y
_atom_site_fract_z
Zn1 Zn 0.000 0.000 0.000
Fe1 Fe 0.000 0.000 0.493
Fe2 Fe 0.500 0.500 0.249
Si1 Si 0.500 0.500 0.718
```

- Fermi-level density of states: 2.94 states/eV/f.u.
- Formation energy (no corrections): -26 meV/atom

=====

3.
LaTi2Cu2 | PBE | relaxed

Cell and atoms, written as CIF:
```
data_LaTi2Cu2
_cell_length_a 4.289
_cell_length_b 4.289
_cell_length_c 10.669
_cell_angle_alpha 90.00
_cell_angle_beta 90.00
_cell_angle_gamma 90.00
_symmetry_space_group_name_H-M 'I 4/m m m'
_symmetry_Int_Tables_number 139
_symmetry_space_group_name_Hall '-I 4 2'
loop_
_atom_site_label
_atom_site_type_symbol
_atom_site_fract_x
_atom_site_fract_y
_atom_site_fract_z
La1 La 0.000 0.000 0.000
Ti1 Ti 0.000 0.500 0.250
Cu1 Cu 0.000 0.000 0.386
```

- Energy of formation: 63.7 meV per atom
- Fermi-level density of states: 7.85 states/eV/f.u.
- Offset from the most stable computed form: 0 kJ/mol of formula units

=====

4.
Ir2AuCl | PBE | relaxed

Cell and atoms, written as CIF:
```
data_Ir2AuCl
_cell_length_a 6.402
_cell_length_b 6.402
_cell_length_c 6.402
_cell_angle_alpha 90.00
_cell_angle_beta 90.00
_cell_angle_gamma 90.00
_symmetry_space_group_name_H-M 'F -4 3 m'
_symmetry_Int_Tables_number 216
_symmetry_space_group_name_Hall 'F -4 2 3'
loop_
_atom_site_label
_atom_site_type_symbol
_atom_site_fract_x
_atom_site_fract_y
_atom_site_fract_z
Ir1 Ir 0.000 0.000 0.000
Ir2 Ir 0.250 0.250 0.250
Au1 Au 0.000 0.000 0.500
Cl1 Cl 0.250 0.250 0.750
```

- Fermi-level density of states: 4.61 states/eV/f.u.
- Offset from the most stable computed form: 260 kJ/mol of formula units
- Formation energy (no corrections): 1000 meV/atom

=====

5.
La2Pr6YEr3 | PBE | relaxed

Cell and atoms, written as CIF:
```
data_La2Pr6YEr3
_cell_length_a 6.350
_cell_length_b 11.004
_cell_length_c 12.045
_cell_angle_alpha 90.00
_cell_angle_beta 100.13
_cell_angle_gamma 90.00
_symmetry_space_group_name_H-M 'C 1 2/m 1'
_symmetry_Int_Tables_number 12
loop_
_symmetry_equiv_pos_as_xyz
'x,y,z'
'-x,-y,-z'
'-x,y,-z'
'x,-y,z'
'x+1/2,y+1/2,z'
'-x+1/2,-y+1/2,-z'
'-x+1/2,y+1/2,-z'
'x+1/2,-y+1/2,z'
loop_
_atom_site_label
_atom_site_type_symbol
_atom_site_fract_x
_atom_site_fract_y
_atom_site_fract_z
La1 La 0.000 0.167 0.000
Pr1 Pr 0.248 0.166 0.744
Pr2 Pr 0.248 0.500 0.744
Y1 Y 0.000 0.500 0.000
Er1 Er 0.000 0.000 0.500
Er2 Er 0.000 0.334 0.500
```

- Energy of formation: 18.2 meV per atom
- Fermi-level density of states: 15.81 states/eV/f.u.

=====

6.
DyTm7Pb4 | PBE | relaxed

Cell and atoms, written as CIF:
```
data_DyTm7Pb4
_cell_length_a 12.785
_cell_length_b 5.706
_cell_length_c 11.403
_cell_angle_alpha 90.00
_cell_angle_beta 120.28
_cell_angle_gamma 90.00
_symmetry_space_group_name_H-M 'C 1 2/m 1'
_symmetry_Int_Tables_number 12
loop_
_symmetry_equiv_pos_as_xyz
'x,y,z'
'-x,-y,-z'
'-x,y,-z'
'x,-y,z'
'x+1/2,y+1/2,z'
'-x+1/2,-y+1/2,-z'
'-x+1/2,y+1/2,-z'
'x+1/2,-y+1/2,z'
loop_
_atom_site_label
_atom_site_type_symbol
_atom_site_fract_x
_atom_site_fract_y
_atom_site_fract_z
Dy1 Dy 0.000 0.000 0.000
Tm1 Tm 0.000 0.500 0.000
Tm2 Tm 0.039 0.000 0.375
Tm3 Tm 0.156 0.500 0.568
Tm4 Tm 0.215 0.000 0.900
Pb1 Pb 0.089 0.500 0.786
Pb2 Pb 0.210 0.500 0.322
```

- Energy of formation: -21.0 meV per atom
- Fermi-level density of states: 14.11 states/eV/f.u.

=====

7.
MnCoTeI2 | PBE | relaxed

Cell and atoms, written as CIF:
```
data_MnCoTeI2
_cell_length_a 5.413
_cell_length_b 5.413
_cell_length_c 5.543
_cell_angle_alpha 90.00
_cell_angle_beta 90.00
_cell_angle_gamma 90.00
_symmetry_space_group_name_H-M 'P 4/m m m'
_symmetry_Int_Tables_number 123
_symmetry_space_group_name_Hall '-P 4 2'
loop_
_atom_site_label
_atom_site_type_symbol
_atom_site_fract_x
_atom_site_fract_y
_atom_site_fract_z
Mn1 Mn 0.000 0.000 0.000
Co1 Co 0.500 0.500 0.500
Te1 Te 0.000 0.000 0.500
I1 I 0.000 0.500 0.000
```

- Fermi-level density of states: 7.34 states/eV/f.u.
- Offset from the most stable computed form: 0 kJ/mol of formula units
- Formation energy (no corrections): 774 meV/atom

=====

8.
MnInH3 | PBE | relaxed

Cell and atoms, written as CIF:
```
data_MnInH3
_cell_length_a 3.469
_cell_length_b 3.469
_cell_length_c 3.469
_cell_angle_alpha 90.00
_cell_angle_beta 90.00
_cell_angle_gamma 90.00
_symmetry_space_group_name_H-M 'P m -3 m'
_symmetry_Int_Tables_number 221
_symmetry_space_group_name_Hall '-P 4 2 3'
loop_
_atom_site_label
_atom_site_type_symbol
_atom_site_fract_x
_atom_site_fract_y
_atom_site_fract_z
Mn1 Mn 0.000 0.000 0.000
In1 In 0.500 0.500 0.500
H1 H 0.000 0.000 0.500
```

- Fermi-level density of states: 1.34 states/eV/f.u.
- Offset from the most stable computed form: 0 kJ/mol of formula units